(1)
{"formula": "HoCd", "functional": "PBE", "state": "optimized geometry", "lattice": [[-2.191, 2.354, 1.177], [0.638, -2.817, 1.839], [3.909, 2.445, 2.387]], "species": ["Cd", "Ho"], "fractional_positions": [[0.667, 0.333, 0.750], [0.333, 0.667, 0.250]], "rho_g_cm3": 8.734, "space_group": "P-6m2 (187)", "dft_energy_ev_per_cell": -5.66}


(2)
{"formula": "Ho2Cd", "functional": "PBE", "state": "optimized geometry", "lattice": [[1.156, -8.959, 1.531], [7.316, -2.944, 4.664], [-1.012, -3.370, 8.459]], "species": ["Ho", "Ho", "Cd", "Ho", "Cd", "Ho"], "fractional_positions": [[0.375, 0.375, 0.875], [0.875, 0.375, 0.375], [0.250, 0.250, 0.250], [0.375, 0.375, 0.375], [0.500, 0.500, 0.500], [0.375, 0.875, 0.375]], "rho_g_cm3": 2.701, "space_group": "Fd-3m (227)", "dft_energy_ev_per_cell": -10.38}


(3)
{"formula": "HoCdSbI2", "functional": "PBE", "state": "optimized geometry", "lattice": [[-1.963, 1.756, 3.489], [3.633, -2.378, 0.502], [6.032, 8.979, -1.124]], "species": ["I", "I", "Ho", "Cd", "Sb"], "fractional_positions": [[0.333, 0.667, 0.326], [0.667, 0.333, 0.681], [0.667, 0.333, 0.149], [0.333, 0.667, 0.846], [0.000, 0.000, 0.998]], "rho_g_cm3": 6.024, "space_group": "P3m1 (156)", "dft_energy_ev_per_cell": -16.43}


(4)
{"formula": "Ho5CdIn3", "functional": "PBE", "state": "optimized geometry", "lattice": [[-8.774, -2.227, -1.851], [6.893, -4.902, -3.718], [-0.071, -4.067, 5.231]], "species": ["Ho", "Cd", "Ho", "In", "Ho", "Ho", "In", "Ho", "In", "Ho", "Cd", "Ho", "Ho", "In", "Ho", "In", "Ho", "In"], "fractional_positions": [[0.291, 0.291, 0.250], [0.000, 0.000, 0.000], [0.000, 0.291, 0.750], [0.371, 0.000, 0.250], [0.709, 0.000, 0.250], [0.667, 0.333, 0.000], [0.000, 0.629, 0.750], [0.333, 0.667, 0.000], [0.000, 0.371, 0.250], [0.709, 0.709, 0.750], [0.000, 0.000, 0.500], [0.333, 0.667, 0.500], [0.000, 0.709, 0.250], [0.371, 0.371, 0.750], [0.667, 0.333, 0.500], [0.629, 0.000, 0.750], [0.291, 0.000, 0.750], [0.629, 0.629, 0.250]], "rho_g_cm3": 8.687, "space_group": "P6_3/mcm (193)", "dft_energy_ev_per_cell": -71.25}


Respective total magnetization values: 0.00, 0.09, 0.00, 0.00 μB/f.u..